# 1
Na3Cr3PO8 after structural relaxation. Source: Alexandria, functional PBE with a Hubbard U.

Uncorrected energy, eV/f.u.: -99.44
Theoretical density, Mg/m³: 3.7

CIF file:
```
data_Na3Cr3PO8
_chemical_formula_sum 'Na3 Cr3 P1 O8'
_space_group_name_H-M_alt 'P -1'
_space_group_IT_number 2
_cell_length_a 5.920
_cell_length_b 6.034
_cell_length_c 6.448
_cell_angle_alpha 62.29
_cell_angle_beta 62.76
_cell_angle_gamma 60.99
loop_
_space_group_symop_operation_xyz
'x,y,z'
'-x,-y,-z'
loop_
_atom_site_label
_atom_site_fract_x
_atom_site_fract_y
_atom_site_fract_z
Na1 0.000 0.000 0.000
Na2 0.000 0.500 0.000
Na3 0.500 0.000 0.000
Cr1 0.000 0.500 0.500
Cr2 0.500 0.000 0.500
Cr3 0.500 0.500 0.500
P1 0.000 0.000 0.500
O1 0.194 0.786 0.323
O2 0.209 0.198 0.318
O3 0.222 0.805 0.682
O4 0.271 0.264 0.692
```

=====

# 2
VO2 after structural relaxation. Source: Alexandria, functional PBE with a Hubbard U.

Uncorrected energy, eV/f.u.: -23.29
Theoretical density, Mg/m³: 2.8

CIF file:
```
data_VO2
_chemical_formula_sum 'V4 O8'
_space_group_name_H-M_alt 'P n m a'
_space_group_IT_number 62
_cell_length_a 5.999
_cell_length_b 3.765
_cell_length_c 8.858
_cell_angle_alpha 90.00
_cell_angle_beta 90.00
_cell_angle_gamma 90.00
loop_
_space_group_symop_operation_xyz
'x,y,z'
'-x,-y,-z'
'-x+1/2,-y,z+1/2'
'x+1/2,y,-z+1/2'
'x+1/2,-y+1/2,-z+1/2'
'-x+1/2,y+1/2,z+1/2'
'-x,y+1/2,-z'
'x,-y+1/2,z'
loop_
_atom_site_label
_atom_site_fract_x
_atom_site_fract_y
_atom_site_fract_z
V1 0.014 0.250 0.134
O1 0.063 0.750 0.077
O2 0.215 0.750 0.751
```

=====

Q: Which value of uncorrected energy does entry 1 give?
A: -99.44 eV/f.u.

=====

Q: Among the records above, which one has the lowest theoretical density?
A: VO2

=====

Q: What is the theoretical density in the first record?
A: 3.7 Mg/m³